## w
An optimized crystal structure of Nd2Sm3Ho3, computed with GGA-PBE.

Cell lengths 5.615, 6.610, 16.052 Å; angles 90.00, 90.00, 115.14 degrees
Fractional positions:
Nd 0.780 0.560 0.872
Nd 0.220 0.440 0.372
Nd 0.780 0.560 0.628
Nd 0.220 0.440 0.128
Sm 0.923 0.845 0.407
Sm 0.077 0.155 0.907
Sm 0.923 0.845 0.093
Sm 0.077 0.155 0.593
Sm 0.735 0.469 0.250
Sm 0.265 0.531 0.750
Ho 0.618 0.236 0.450
Ho 0.382 0.764 0.950
Ho 0.618 0.236 0.050
Ho 0.382 0.764 0.550
Ho 0.459 0.918 0.250
Ho 0.541 0.082 0.750

The symmetry is No. 63.

## x
An optimized crystal structure of Nd2Sm3Ho3, computed with GGA-PBE.

Cell lengths 5.094, 5.099, 10.789 Å; angles 103.66, 103.66, 90.00 degrees
Fractional positions:
Nd 0.750 0.250 0.500
Nd 0.250 0.750 0.500
Sm 0.623 0.623 0.246
Sm 0.377 0.377 0.754
Sm 0.500 0.000 0.000
Ho 0.124 0.124 0.247
Ho 0.000 0.500 0.000
Ho 0.876 0.876 0.753

The symmetry is No. 71.

Most stable: x

## w
An optimized crystal structure of Nd3SmHo7, computed with GGA-PBE.

Cell lengths 5.535, 10.068, 8.902 Å; angles 105.91, 128.41, 90.01 degrees
Fractional positions:
Nd 0.283 0.001 0.784
Nd 0.000 0.500 0.000
Nd 0.717 0.999 0.216
Sm 0.500 0.500 0.500
Ho 0.913 0.830 0.913
Ho 0.856 0.711 0.356
Ho 0.682 0.362 0.182
Ho 0.318 0.638 0.818
Ho 0.500 0.000 0.500
Ho 0.144 0.289 0.644
Ho 0.087 0.170 0.087

The symmetry is No. 10.

## x
An optimized crystal structure of Nd3SmHo7, computed with GGA-PBE.

Cell lengths 8.699, 7.069, 7.069 Å; angles 120.00, 90.00, 90.00 degrees
Fractional positions:
Nd 0.784 0.500 0.500
Nd 0.784 0.500 0.000
Nd 0.784 0.000 0.500
Sm 0.445 0.333 0.667
Ho 0.121 0.167 0.833
Ho 0.121 0.167 0.334
Ho 0.122 0.667 0.333
Ho 0.445 0.833 0.167
Ho 0.445 0.335 0.167
Ho 0.445 0.833 0.665
Ho 0.121 0.666 0.833

The symmetry is No. 156.

Most stable: w

## w
An optimized crystal structure of Nd5SmHo2, computed with GGA-PBE.

Cell lengths 5.139, 7.263, 14.529 Å; angles 90.00, 90.00, 90.00 degrees
Fractional positions:
Nd 0.000 0.000 0.000
Nd 0.000 0.500 0.500
Nd 0.000 0.500 0.750
Nd 0.000 0.500 0.250
Nd 0.000 0.000 0.250
Nd 0.000 0.000 0.750
Nd 0.500 0.250 0.875
Nd 0.500 0.750 0.125
Nd 0.500 0.250 0.375
Nd 0.500 0.750 0.625
Sm 0.000 0.000 0.500
Sm 0.000 0.500 0.000
Ho 0.500 0.250 0.625
Ho 0.500 0.750 0.375
Ho 0.500 0.250 0.125
Ho 0.500 0.750 0.875

The symmetry is No. 55.

## x
An optimized crystal structure of Nd5SmHo2, computed with GGA-PBE.

Cell lengths 7.214, 14.838, 10.114 Å; angles 90.00, 90.00, 148.08 degrees
Fractional positions:
Nd 0.251 0.999 0.029
Nd 0.251 0.999 0.471
Nd 0.366 0.639 0.406
Nd 0.366 0.639 0.094
Nd 0.478 0.277 0.250
Nd 0.522 0.723 0.750
Nd 0.634 0.361 0.594
Nd 0.634 0.361 0.906
Nd 0.749 0.001 0.971
Nd 0.749 0.001 0.529
Sm 0.002 0.717 0.750
Sm 0.998 0.283 0.250
Ho 0.861 0.634 0.409
Ho 0.861 0.634 0.091
Ho 0.139 0.366 0.591
Ho 0.139 0.366 0.909

The symmetry is No. 11.

Most stable: w

## w
An optimized crystal structure of NdSm3Ho6, computed with GGA-PBE.

Cell lengths 9.892, 9.892, 6.900 Å; angles 44.21, 44.21, 60.00 degrees
Fractional positions:
Nd 0.899 0.899 0.303
Sm 0.399 0.399 0.803
Sm 0.647 0.647 0.059
Sm 0.150 0.150 0.551
Ho 0.901 0.572 0.297
Ho 0.229 0.901 0.297
Ho 0.572 0.229 0.297
Ho 0.073 0.401 0.797
Ho 0.728 0.073 0.797
Ho 0.401 0.728 0.797

The symmetry is No. 146.

## x
An optimized crystal structure of NdSm3Ho6, computed with GGA-PBE.

Cell lengths 6.233, 10.992, 10.992 Å; angles 119.51, 90.00, 90.00 degrees
Fractional positions:
Nd 0.142 0.204 0.796
Nd 0.642 0.796 0.204
Sm 0.461 0.937 0.717
Sm 0.961 0.717 0.937
Sm 0.068 0.391 0.609
Sm 0.568 0.609 0.391
Sm 0.961 0.063 0.283
Sm 0.461 0.283 0.063
Ho 0.035 0.712 0.618
Ho 0.535 0.618 0.712
Ho 0.369 0.538 0.960
Ho 0.869 0.960 0.538
Ho 0.406 0.955 0.045
Ho 0.640 0.281 0.719
Ho 0.140 0.719 0.281
Ho 0.906 0.045 0.955
Ho 0.369 0.040 0.462
Ho 0.869 0.462 0.040
Ho 0.035 0.382 0.288
Ho 0.535 0.288 0.382

The symmetry is No. 36.

Most stable: x

## w
An optimized crystal structure of Nd3SmHo3, computed with GGA-PBE.

Cell lengths 8.925, 8.925, 8.925 Å; angles 58.52, 58.52, 58.52 degrees
Fractional positions:
Nd 0.719 0.566 0.071
Nd 0.071 0.719 0.566
Nd 0.566 0.071 0.719
Nd 0.434 0.929 0.281
Nd 0.929 0.281 0.434
Nd 0.281 0.434 0.929
Sm 0.344 0.344 0.344
Sm 0.656 0.656 0.656
Ho 0.715 0.174 0.937
Ho 0.174 0.937 0.715
Ho 0.937 0.715 0.174
Ho 0.063 0.285 0.826
Ho 0.826 0.063 0.285
Ho 0.285 0.826 0.063

The symmetry is No. 148.

## x
An optimized crystal structure of Nd3SmHo3, computed with GGA-PBE.

Cell lengths 5.786, 9.679, 9.679 Å; angles 120.00, 90.00, 90.00 degrees
Fractional positions:
Nd 0.750 0.621 0.526
Nd 0.750 0.474 0.096
Nd 0.750 0.904 0.379
Nd 0.250 0.379 0.474
Nd 0.250 0.526 0.904
Nd 0.250 0.096 0.621
Sm 0.250 0.667 0.333
Sm 0.750 0.333 0.667
Ho 0.250 0.813 0.767
Ho 0.250 0.233 0.046
Ho 0.250 0.954 0.187
Ho 0.750 0.187 0.233
Ho 0.750 0.767 0.954
Ho 0.750 0.046 0.813

The symmetry is No. 176.

Most stable: x

## w
An optimized crystal structure of Nd2SmHo8, computed with GGA-PBE.

Cell lengths 5.519, 8.101, 9.389 Å; angles 115.56, 107.07, 90.00 degrees
Fractional positions:
Nd 0.201 0.701 0.401
Nd 0.799 0.299 0.599
Sm 0.500 0.000 0.000
Ho 0.638 0.846 0.276
Ho 0.362 0.570 0.725
Ho 0.160 0.160 0.321
Ho 0.000 0.293 0.000
Ho 0.840 0.840 0.679
Ho 0.638 0.430 0.275
Ho 0.362 0.154 0.724
Ho 0.000 0.707 0.000

The symmetry is No. 71.

## x
An optimized crystal structure of Nd2SmHo8, computed with GGA-PBE.

Cell lengths 5.903, 9.041, 9.212 Å; angles 60.61, 74.53, 57.07 degrees
Fractional positions:
Nd 0.000 0.306 0.387
Nd 0.000 0.694 0.613
Sm 0.500 0.000 0.000
Ho 0.827 0.098 0.232
Ho 0.827 0.331 0.768
Ho 0.296 0.429 0.000
Ho 0.500 0.792 0.416
Ho 0.500 0.208 0.584
Ho 0.704 0.571 0.000
Ho 0.173 0.669 0.232
Ho 0.173 0.902 0.768

The symmetry is No. 12.

Most stable: w